Pm3Si4B2 | GGA-PBE | optimized geometry

Cell and atoms, written as POSCAR:
```
Pm3Si4B2
1.0
5.355 -1.889 0.000
5.355 1.889 0.000
-2.819 0.000 7.814
Pm Si B
3 4 2
direct
0.000 0.000 0.000
0.391 0.391 0.312
0.609 0.609 0.688
0.145 0.145 0.410
0.277 0.277 0.929
0.723 0.723 0.071
0.855 0.855 0.590
0.308 0.308 0.674
0.692 0.692 0.326
```

The value obtained for the density is 5976 kg/m3. The uncorrected formation energy comes out at -0.357 eV/atom.